(1)
A geometry-optimized HoHfCu2 structure, computed with GGA-PBE.

Cell and atoms, written as POSCAR:
```
HoHfCu2
1.0
0.000 3.339 3.339
3.339 0.000 3.339
3.339 3.339 0.000
Ho Hf Cu
1 1 2
direct
0.000 0.000 0.000
0.500 0.500 0.500
0.250 0.250 0.250
0.750 0.750 0.750
```

Values from the calculation:
The calculation puts the formation energy at -105 meV/atom. The relative energy among the computed polymorphs is 5.05 kJ/mol of atoms. The value obtained for the total DFT energy (no corrections) is -23.14 eV per formula unit. The density comes out at 10.49 g cm⁻³.

***

(2)
A geometry-optimized NpV3Te6 structure, computed with GGA-PBE.

Cell and atoms, written as POSCAR:
```
NpV3Te6
1.0
11.472 0.000 0.000
0.000 4.128 0.000
-3.862 0.000 10.946
Np V Te
2 6 12
direct
0.058 0.250 0.209
0.942 0.750 0.791
0.154 0.250 0.591
0.318 0.750 0.994
0.443 0.250 0.356
0.557 0.750 0.644
0.682 0.250 0.006
0.846 0.750 0.409
0.088 0.750 0.421
0.127 0.250 0.964
0.210 0.750 0.747
0.282 0.750 0.228
0.389 0.250 0.568
0.474 0.250 0.111
0.526 0.750 0.889
0.611 0.750 0.432
0.718 0.250 0.772
0.790 0.250 0.253
0.873 0.750 0.036
0.912 0.250 0.579
```

Values from the calculation:
The value obtained for the total DFT energy (no corrections) is -62.39 eV per formula unit. The density comes out at 7.40 g cm⁻³. The uncorrected formation energy is -0.3248 eV per atom.

***

(3)
A geometry-optimized Cs2VAgI6 structure, computed with GGA-PBE.

Cell and atoms, written as POSCAR:
```
Cs2VAgI6
1.0
5.735 -6.251 0.000
5.735 6.251 0.000
-5.735 0.000 5.740
Cs V Ag I
2 1 1 6
direct
0.000 0.000 0.000
0.500 0.500 0.000
0.761 0.239 0.500
0.299 0.701 0.500
0.503 0.007 0.012
0.504 0.009 0.501
0.530 0.470 0.500
0.979 0.021 0.500
0.991 0.496 0.499
0.993 0.497 0.988
```

Values from the calculation:
The value obtained for the total DFT energy (no corrections) is -31.09 eV per formula unit. The density comes out at 4.79 g cm⁻³. The uncorrected formation energy is -0.8117 eV per atom.

***

(4)
A geometry-optimized Ho6Hg5Rh structure, computed with GGA-PBE.

Cell and atoms, written as POSCAR:
```
Ho6Hg5Rh
1.0
2.584 -7.729 0.000
2.584 7.729 0.000
0.000 0.000 7.332
Ho Hg Rh
6 5 1
direct
0.000 0.000 0.233
0.000 0.000 0.767
0.342 0.658 0.242
0.342 0.658 0.758
0.658 0.342 0.242
0.658 0.342 0.758
0.170 0.830 0.500
0.175 0.825 0.000
0.500 0.500 0.500
0.825 0.175 0.000
0.830 0.170 0.500
0.500 0.500 0.000
```

Values from the calculation:
The calculation puts the formation energy at -552 meV/atom. The value obtained for the total DFT energy (no corrections) is -42.95 eV per formula unit. The density comes out at 11.88 g cm⁻³.

***

(5)
A geometry-optimized LiTcIr2 structure, computed with GGA-PBE.

Cell and atoms, written as POSCAR:
```
LiTcIr2
1.0
4.441 -1.345 0.000
4.441 1.345 0.000
-0.658 0.000 4.668
Li Tc Ir
1 1 2
direct
0.000 0.000 0.000
0.500 0.500 0.500
0.246 0.246 0.753
0.754 0.754 0.247
```

Values from the calculation:
The calculation puts the formation energy at -18 meV/atom. The relative energy among the computed polymorphs is 9.27 kJ/mol of atoms. The value obtained for the total DFT energy (no corrections) is -30.08 eV per formula unit. The density comes out at 14.57 g cm⁻³.

***

(6)
A geometry-optimized HoH4Br4 structure, computed with GGA-PBE.

Cell and atoms, written as POSCAR:
```
HoH4Br4
1.0
-4.975 4.975 1.933
4.975 -4.975 1.933
4.975 4.975 -1.933
Ho H Br
1 4 4
direct
0.000 0.000 0.000
0.050 0.227 0.277
0.227 0.950 0.176
0.773 0.050 0.824
0.950 0.773 0.723
0.265 0.552 0.817
0.448 0.265 0.713
0.552 0.735 0.287
0.735 0.448 0.183
```

Values from the calculation:
The value obtained for the total DFT energy (no corrections) is -26.41 eV per formula unit. The density comes out at 4.24 g cm⁻³.

***

(7)
A geometry-optimized CoOs2Cl structure, computed with GGA-PBE.

Cell and atoms, written as POSCAR:
```
CoOs2Cl
1.0
0.000 2.992 2.992
2.992 0.000 2.992
2.992 2.992 0.000
Co Os Cl
1 2 1
direct
0.000 0.000 0.000
0.250 0.250 0.250
0.750 0.750 0.750
0.500 0.500 0.500
```

Values from the calculation:
The relative energy among the computed polymorphs is 71.27 kJ/mol of atoms. The value obtained for the total DFT energy (no corrections) is -26.57 eV per formula unit. The density comes out at 14.71 g cm⁻³. The uncorrected formation energy is 1.2097 eV per atom.

***

(8)
A geometry-optimized Na2SrGe6 structure, computed with GGA-PBE.

Cell and atoms, written as POSCAR:
```
Na2SrGe6
1.0
-1.971 5.011 5.603
1.971 -5.011 5.603
1.971 5.011 -5.603
Na Sr Ge
2 1 6
direct
0.160 0.160 0.000
0.840 0.840 0.000
0.500 0.000 0.500
0.103 0.320 0.783
0.137 0.500 0.637
0.463 0.680 0.783
0.537 0.320 0.217
0.863 0.500 0.363
0.897 0.680 0.217
```

Values from the calculation:
The calculation puts the formation energy at -100 meV/atom. The relative energy among the computed polymorphs is 0.00 kJ/mol of atoms. The value obtained for the total DFT energy (no corrections) is -32.92 eV per formula unit. The density comes out at 4.27 g cm⁻³.

***

Among the records above, which one has the lowest total DFT energy (no corrections)? NpV3Te6

***

Please write out number 2 again, unchanged.
A geometry-optimized NpV3Te6 structure, computed with GGA-PBE.

Cell and atoms, written as POSCAR:
```
NpV3Te6
1.0
11.472 0.000 0.000
0.000 4.128 0.000
-3.862 0.000 10.946
Np V Te
2 6 12
direct
0.058 0.250 0.209
0.942 0.750 0.791
0.154 0.250 0.591
0.318 0.750 0.994
0.443 0.250 0.356
0.557 0.750 0.644
0.682 0.250 0.006
0.846 0.750 0.409
0.088 0.750 0.421
0.127 0.250 0.964
0.210 0.750 0.747
0.282 0.750 0.228
0.389 0.250 0.568
0.474 0.250 0.111
0.526 0.750 0.889
0.611 0.750 0.432
0.718 0.250 0.772
0.790 0.250 0.253
0.873 0.750 0.036
0.912 0.250 0.579
```

Values from the calculation:
The value obtained for the total DFT energy (no corrections) is -62.39 eV per formula unit. The density comes out at 7.40 g cm⁻³. The uncorrected formation energy is -0.3248 eV per atom.

***

Which value of total DFT energy (no corrections) does entry 8 give? -32.92 eV per formula unit

***

Which value of total DFT energy (no corrections) does entry 8 give? -32.92 eV per formula unit